i) Density functional theory data (PBE-GGA) for YAg2Br after structural relaxation.

As for the volume: 93.8 Å³/cell. The calculation puts the density of states at the Fermi level at 1.9 states/eV/f.u. Its space group is C2/m (12). The total magnetic moment is 0.031 μB/f.u.

abc: 4.6600 6.5373 3.4279
angles: 75.22 88.86 110.56
Sites, in units of the cell vectors:
Y 0.5000 0.5000 0.0000
Br 0.0000 0.5000 0.5000
Ag 0.0000 0.0000 0.0000
Ag 0.5000 0.0000 0.5000

ii) Density functional theory data (PBE-GGA) for YAg2Br after structural relaxation.

As for the volume: 90.9 Å³/cell. The calculation puts the density of states at the Fermi level at 1.5 states/eV/f.u. Its space group is I-4m2 (119). The total magnetic moment is 0.000 μB/f.u.

abc: 5.0503 5.0503 5.0503
angles: 120.14 120.09 89.80
Sites, in units of the cell vectors:
Y 0.7498 0.2498 0.5000
Br 0.5001 0.5001 0.0000
Ag 0.9999 0.9999 0.0000
Ag 0.2501 0.7501 0.5000

Least stable = ii)

i) Density functional theory data (PBE-GGA) for Ce2DySc after structural relaxation.

As for the volume: 112.4 Å³/cell. The calculation puts the density of states at the Fermi level at 10.5 states/eV/f.u. Its space group is R3m (160). The total magnetic moment is 1.297 μB/f.u.

abc: 3.3933 3.3933 11.4426
angles: 81.47 81.47 60.00
Sites, in units of the cell vectors:
Ce 0.0863 0.0863 0.7412
Ce 0.2466 0.2466 0.2603
Dy 0.6683 0.6683 0.9952
Sc 0.4989 0.4989 0.5033

ii) Density functional theory data (PBE-GGA) for Ce2DySc after structural relaxation.

As for the volume: 117.8 Å³/cell. The calculation puts the density of states at the Fermi level at 13.3 states/eV/f.u. Its space group is Fm-3m (225). The total magnetic moment is 1.375 μB/f.u.

abc: 5.5029 5.5029 5.5029
angles: 60.00 60.00 60.00
Sites, in units of the cell vectors:
Sc 0.5000 0.5000 0.5000
Ce 0.2500 0.2500 0.2500
Ce 0.7500 0.7500 0.7500
Dy 0.0000 0.0000 0.0000

Least stable = ii)

i) Density functional theory data (PBE-GGA) for BeZnInNiPd after structural relaxation.

As for the volume: 72.1 Å³/cell. The calculation puts the density of states at the Fermi level at 2.3 states/eV/f.u. Its space group is Pm (6). The total magnetic moment is 0.000 μB/f.u.

abc: 3.0206 4.3191 5.7274
angles: 90.00 105.19 90.00
Sites, in units of the cell vectors:
Ni 0.9315 0.5000 0.3188
Zn 0.2487 0.5000 0.9532
Be 0.5844 0.5000 0.6244
Pd 0.7069 0.0000 0.8668
In 0.4424 0.0000 0.3395

ii) Density functional theory data (PBE-GGA) for BeZnInNiPd after structural relaxation.

As for the volume: 140.6 Å³/cell. The calculation puts the density of states at the Fermi level at 2.0 states/eV/f.u. Its space group is Amm2 (38). The total magnetic moment is 0.000 μB/f.u.

abc: 2.9759 3.6459 12.9546
angles: 90.00 90.00 90.00
Sites, in units of the cell vectors:
Ni 0.5000 0.0000 0.7197
Ni 0.5000 0.5000 0.2197
Zn 0.0000 0.0000 0.5596
Zn 0.0000 0.5000 0.0596
Be 0.5000 0.0000 0.1267
Be 0.5000 0.5000 0.6267
Pd 0.5000 0.0000 0.9490
Pd 0.5000 0.5000 0.4490
In 0.0000 0.0000 0.3206
In 0.0000 0.5000 0.8206

Least stable = i)

i) Density functional theory data (PBE-GGA) for B5C7 after structural relaxation.

As for the volume: 78.4 Å³/cell. The calculation puts the density of states at the Fermi level at 2.8 states/eV/f.u. Its space group is Pm (6). The total magnetic moment is 0.000 μB/f.u.

abc: 2.5977 4.7303 6.4168
angles: 96.15 90.00 90.00
Sites, in units of the cell vectors:
B 0.5000 0.8379 0.3364
B 0.0000 0.6640 0.6597
B 0.0000 0.2714 0.5765
B 0.0000 0.3665 0.3107
B 0.0000 0.0044 0.0107
C 0.5000 0.5250 0.2306
C 0.5000 0.5042 0.9922
C 0.5000 0.1820 0.9136
C 0.0000 0.0279 0.2808
C 0.0000 0.6530 0.9171
C 0.5000 0.1323 0.6829
C 0.5000 0.8314 0.5888

ii) Density functional theory data (PBE-GGA) for B5C7 after structural relaxation.

As for the volume: 79.0 Å³/cell. The calculation puts the density of states at the Fermi level at 1.6 states/eV/f.u. Its space group is Cm (8). The total magnetic moment is 0.000 μB/f.u.

abc: 6.8047 7.1992 7.1992
angles: 159.29 140.56 45.26
Sites, in units of the cell vectors:
B 0.9948 0.3278 0.6670
B 0.5971 0.3031 0.2941
B 0.5342 0.1644 0.3699
B 0.6277 0.9596 0.6681
B 0.0064 0.6654 0.3411
C 0.1460 0.1215 0.0245
C 0.0136 0.0028 0.0108
C 0.4727 0.8350 0.6377
C 0.1323 0.7888 0.3435
C 0.6311 0.6175 0.0136
C 0.4815 0.5040 0.9775
C 0.1126 0.4602 0.6524

Least stable = ii)

i) Density functional theory data (PBE-GGA) for LaTa2Mo after structural relaxation.

As for the volume: 81.9 Å³/cell. The calculation puts the density of states at the Fermi level at 5.3 states/eV/f.u. Its space group is Immm (71). The total magnetic moment is 0.000 μB/f.u.

abc: 5.7871 5.7871 5.7871
angles: 147.36 127.63 63.09
Sites, in units of the cell vectors:
La 0.2500 0.7500 0.5000
Mo 0.7500 0.2500 0.5000
Ta 0.9795 0.9795 0.0000
Ta 0.5205 0.5205 0.0000

ii) Density functional theory data (PBE-GGA) for LaTa2Mo after structural relaxation.

As for the volume: 84.8 Å³/cell. The calculation puts the density of states at the Fermi level at 5.7 states/eV/f.u. Its space group is P4mm (99). The total magnetic moment is 0.000 μB/f.u.

abc: 3.2992 3.2992 7.7891
angles: 90.00 90.00 90.00
Sites, in units of the cell vectors:
La 0.0000 0.0000 0.5135
Mo 0.5000 0.5000 0.8041
Ta 0.0000 0.0000 0.9865
Ta 0.5000 0.5000 0.1960

Least stable = i)

i) Density functional theory data (PBE-GGA) for CaNb2Re after structural relaxation.

As for the volume: 74.4 Å³/cell. The calculation puts the density of states at the Fermi level at 4.5 states/eV/f.u. Its space group is Fm-3m (225). The total magnetic moment is 0.000 μB/f.u.

abc: 4.7204 4.7204 4.7204
angles: 60.00 60.00 60.00
Sites, in units of the cell vectors:
Re 0.5000 0.5000 0.5000
Nb 0.2500 0.2500 0.2500
Nb 0.7500 0.7500 0.7500
Ca 0.0000 0.0000 0.0000

ii) Density functional theory data (PBE-GGA) for CaNb2Re after structural relaxation.

As for the volume: 176.0 Å³/cell. The calculation puts the density of states at the Fermi level at 4.2 states/eV/f.u. Its space group is I-42d (122). The total magnetic moment is 0.000 μB/f.u.

abc: 7.7085 7.7085 6.2036
angles: 51.59 51.59 90.00
Sites, in units of the cell vectors:
Re 0.0000 0.0000 0.0000
Re 0.7500 0.2500 0.5000
Nb 0.6822 0.1250 0.2500
Nb 0.0678 0.6250 0.2500
Nb 0.3750 0.3178 0.7500
Nb 0.8750 0.9322 0.7500
Ca 0.5000 0.5000 0.0000
Ca 0.2500 0.7500 0.5000

Least stable = ii)